The following is a PBE calculation of a relaxed Zn3CuNi12 crystal, from Alexandria.

POSCAR file:
```
Zn3CuNi12
1.0
3.5682 0.0000 0.0000
0.0000 3.5682 0.0000
0.0000 0.0000 14.2696
Ni Zn Cu
12 3 1
Direct
0.0000 0.5000 0.1229
0.0000 0.5000 0.6258
0.5000 0.0000 0.6258
0.0000 0.5000 0.8771
0.5000 0.0000 0.3742
0.5000 0.5000 0.0000
0.5000 0.5000 0.7517
0.5000 0.5000 0.5000
0.0000 0.5000 0.3742
0.5000 0.5000 0.2483
0.5000 0.0000 0.1229
0.5000 0.0000 0.8771
0.0000 0.0000 0.7512
0.0000 0.0000 0.2488
0.0000 0.0000 0.5000
0.0000 0.0000 0.0000
```

Calculated values
Crystal system: tetragonal
Space-group type: No. 123
Calculated density, Mg/m³: 8.81
Calculated formation energy, eV/atom: -0.07